1.
A plane-wave DFT calculation with PBE-GGA was carried out for a geometry-optimized Sr3ZnW structure.

Cell and atoms, written as CIF:
```
data_Sr3ZnW
_chemical_formula_sum 'Sr3 Zn1 W1'
_cell_length_a 5.8480
_cell_length_b 5.8480
_cell_length_c 5.8480
_cell_angle_alpha 90.00
_cell_angle_beta 90.00
_cell_angle_gamma 90.00
_symmetry_space_group_name_H-M 'P m -3 m'
_symmetry_Int_Tables_number 221
_symmetry_space_group_name_Hall '-P 4 2 3'
loop_
_atom_site_label
_atom_site_fract_x
_atom_site_fract_y
_atom_site_fract_z
Sr1 0.0000 0.0000 0.5000
Zn1 0.5000 0.5000 0.5000
W1 0.0000 0.0000 0.0000
```

Output
**Calculated formation energy**: 1036 meV per atom
**Magnetization**: 0.0 μB per formula unit
**E_tot**: -2.819 eV per atom
**Offset from the most stable computed form**: 0.00 kcal/mol of atoms
**DOS at the Fermi energy**: 0.5551 states/eV per atom

2.
A plane-wave DFT calculation with PBE-GGA was carried out for a geometry-optimized SrZnW4 structure.

Cell and atoms, written as CIF:
```
data_SrZnW4
_chemical_formula_sum 'Sr4 Zn4 W16'
_cell_length_a 7.7626
_cell_length_b 7.7626
_cell_length_c 7.7626
_cell_angle_alpha 90.00
_cell_angle_beta 90.00
_cell_angle_gamma 90.00
_symmetry_space_group_name_H-M 'F -4 3 m'
_symmetry_Int_Tables_number 216
_symmetry_space_group_name_Hall 'F -4 2 3'
loop_
_atom_site_label
_atom_site_fract_x
_atom_site_fract_y
_atom_site_fract_z
Sr1 0.0000 0.0000 0.0000
Zn1 0.2500 0.2500 0.2500
W1 0.1252 0.1252 0.6252
```

Output
**Calculated formation energy**: 843 meV per atom
**Magnetization**: 0.0 μB per formula unit
**E_tot**: -8.286 eV per atom
**DOS at the Fermi energy**: 1.1157 states/eV per atom